TbYSnTe | PBE | optimized geometry

Calculated values
magnetic moment	0.0	μB/f.u.
raw formation energy	-4.27	eV/f.u.
E	-5.628	eV/atom

```
data_TbYSnTe
_cell_length_a 4.3966
_cell_length_b 4.3966
_cell_length_c 21.7011
_cell_angle_alpha 90.00
_cell_angle_beta 90.00
_cell_angle_gamma 120.00
_space_group_name_H-M_alt 'R 3 m'
_space_group_IT_number 160
_space_group_name_Hall 'R 3 -2"'
loop_
_atom_site_label
_atom_site_fract_x
_atom_site_fract_y
_atom_site_fract_z
Tb1 0.0000 0.0000 0.0000
Y1 0.0000 0.0000 0.5085
Sn1 0.0000 0.0000 0.2541
Te1 0.0000 0.0000 0.7544
```